# GdCuAgRh, relaxed, DFT PBE
data_GdCuAgRh
_cell_length_a 6.6421
_cell_length_b 6.6421
_cell_length_c 6.6421
_cell_angle_alpha 90.00
_cell_angle_beta 90.00
_cell_angle_gamma 90.00
_symmetry_space_group_name_H-M 'F -4 3 m'
_symmetry_Int_Tables_number 216
_symmetry_space_group_name_Hall 'F -4 2 3'
loop_
_atom_site_label
_atom_site_fract_x
_atom_site_fract_y
_atom_site_fract_z
Gd1 0.0000 0.0000 0.0000
Cu1 0.2500 0.2500 0.2500
Ag1 0.0000 0.0000 0.5000
Rh1 0.2500 0.2500 0.7500
# Total DFT energy (no corrections)   -7.303 eV per atom
# Total magnetic moment   7.096 μB per formula unit